# Ba2In2GaAu4

Crystalline Ba2In2GaAu4 at its relaxed geometry (PBE, Alexandria).

Calculated volume in Å³/f.u.: 243
E_form in eV per atom: -0.494

Cell lengths 6.906, 6.906, 6.906 Å; angles 95.86, 116.67, 116.67 degrees
Positions (direct):
1 Ba 0.500 0.750 0.250
2 Ba 0.500 0.250 0.750
3 In 0.000 0.670 0.670
4 In 0.000 0.330 0.330
5 Ga 0.000 0.000 0.000
6 Au 0.000 0.744 0.256
7 Au 0.488 0.744 0.744
8 Au 0.000 0.256 0.744
9 Au 0.512 0.256 0.256